Record 1
A plane-wave DFT calculation with PBE was carried out for an optimized crystal structure of Pr3SeS2.

Geometry as CIF:
```
data_Pr3SeS2
_chemical_formula_sum 'Pr3 Se1 S2'
_cell_length_a 7.2071
_cell_length_b 7.2071
_cell_length_c 7.2071
_cell_angle_alpha 146.45
_cell_angle_beta 131.80
_cell_angle_gamma 60.00
_space_group_name_H-M_alt 'P 1'
_space_group_IT_number 1
loop_
_space_group_symop_operation_xyz
'x,y,z'
loop_
_atom_site_label
_atom_site_type_symbol
_atom_site_fract_x
_atom_site_fract_y
_atom_site_fract_z
_atom_site_occupancy
Pr1 Pr 0.0000 0.0000 0.0000 1
Pr2 Pr 0.3238 0.3238 0.0000 1
Pr3 Pr 0.6762 0.6762 0.0000 1
Se1 Se 0.5000 0.0000 0.5000 1
S1 S 0.1636 0.6636 0.5000 1
S2 S 0.8364 0.3364 0.5000 1
```

Computed properties:
As for the crystal system: orthorhombic. Its density of states at the Fermi level is 0.45 states/eV per atom. Its energy above the lowest structure with this stoichiometry is 0 kJ/mol of formula units.

Record 2
A plane-wave DFT calculation with PBE was carried out for an optimized crystal structure of Pr2Se2S.

Geometry as CIF:
```
data_Pr2Se2S
_chemical_formula_sum 'Pr4 Se4 S2'
_cell_length_a 8.8324
_cell_length_b 8.8324
_cell_length_c 7.7098
_cell_angle_alpha 90.00
_cell_angle_beta 90.00
_cell_angle_gamma 151.80
_space_group_name_H-M_alt 'P 1'
_space_group_IT_number 1
loop_
_space_group_symop_operation_xyz
'x,y,z'
loop_
_atom_site_label
_atom_site_type_symbol
_atom_site_fract_x
_atom_site_fract_y
_atom_site_fract_z
_atom_site_occupancy
Pr1 Pr 0.0531 0.9469 0.5000 1
Pr2 Pr 0.3158 0.6842 0.4559 1
Pr3 Pr 0.6842 0.3158 0.9559 1
Pr4 Pr 0.9469 0.0531 0.0000 1
Se1 Se 0.3052 0.6948 0.0450 1
Se2 Se 0.4494 0.5506 0.7039 1
Se3 Se 0.5506 0.4494 0.2039 1
Se4 Se 0.6948 0.3052 0.5450 1
S1 S 0.0978 0.9022 0.8505 1
S2 S 0.9022 0.0978 0.3505 1
```

Computed properties:
As for the crystal system: orthorhombic. Its energy above the lowest structure with this stoichiometry is 0 kJ/mol of formula units.

Record 3
A plane-wave DFT calculation with PBE was carried out for an optimized crystal structure of Pr5SeS4.

Geometry as CIF:
```
data_Pr5SeS4
_chemical_formula_sum 'Pr5 Se1 S4'
_cell_length_a 14.9448
_cell_length_b 14.9448
_cell_length_c 14.9448
_cell_angle_alpha 164.09
_cell_angle_beta 164.09
_cell_angle_gamma 22.58
_space_group_name_H-M_alt 'P 1'
_space_group_IT_number 1
loop_
_space_group_symop_operation_xyz
'x,y,z'
loop_
_atom_site_label
_atom_site_type_symbol
_atom_site_fract_x
_atom_site_fract_y
_atom_site_fract_z
_atom_site_occupancy
Pr1 Pr 0.0000 0.0000 0.0000 1
Pr2 Pr 0.1989 0.1989 0.0000 1
Pr3 Pr 0.3968 0.3968 0.0000 1
Pr4 Pr 0.6032 0.6032 0.0000 1
Pr5 Pr 0.8011 0.8011 0.0000 1
Se1 Se 0.5000 0.5000 0.0000 1
S1 S 0.0999 0.0999 0.0000 1
S2 S 0.2982 0.2982 0.0000 1
S3 S 0.7018 0.7018 0.0000 1
S4 S 0.9001 0.9001 0.0000 1
```

Computed properties:
As for the crystal system: tetragonal. Its density of states at the Fermi level is 0.42 states/eV per atom. For the total energy, the calculation gives -6.36 eV per atom.

Record 4
A plane-wave DFT calculation with PBE was carried out for an optimized crystal structure of Pr3SeS3.

Geometry as CIF:
```
data_Pr3SeS3
_chemical_formula_sum 'Pr6 Se2 S6'
_cell_length_a 7.6649
_cell_length_b 7.6649
_cell_length_c 7.7228
_cell_angle_alpha 104.58
_cell_angle_beta 104.58
_cell_angle_gamma 99.08
_space_group_name_H-M_alt 'P 1'
_space_group_IT_number 1
loop_
_space_group_symop_operation_xyz
'x,y,z'
loop_
_atom_site_label
_atom_site_type_symbol
_atom_site_fract_x
_atom_site_fract_y
_atom_site_fract_z
_atom_site_occupancy
Pr1 Pr 0.1450 0.8523 0.7518 1
Pr2 Pr 0.1477 0.8550 0.2482 1
Pr3 Pr 0.4833 0.4833 0.2424 1
Pr4 Pr 0.5167 0.5167 0.7576 1
Pr5 Pr 0.8523 0.1450 0.7518 1
Pr6 Pr 0.8550 0.1477 0.2482 1
Se1 Se 0.1841 0.1841 0.5930 1
Se2 Se 0.8159 0.8159 0.4070 1
S1 S 0.1712 0.1712 0.0847 1
S2 S 0.3213 0.6787 0.0000 1
S3 S 0.3206 0.6794 0.5000 1
S4 S 0.6787 0.3213 0.0000 1
S5 S 0.6794 0.3206 0.5000 1
S6 S 0.8288 0.8288 0.9153 1
```

Computed properties:
As for the crystal system: monoclinic. Its density of states at the Fermi level is 0.11 states/eV per atom. For the total energy, the calculation gives -6.16 eV per atom.

Record 5
A plane-wave DFT calculation with PBE was carried out for an optimized crystal structure of Pr3Se5S12.

Geometry as CIF:
```
data_Pr3Se5S12
_chemical_formula_sum 'Pr12 Se20 S48'
_cell_length_a 13.7609
_cell_length_b 13.7609
_cell_length_c 13.7609
_cell_angle_alpha 109.47
_cell_angle_beta 109.47
_cell_angle_gamma 109.47
_space_group_name_H-M_alt 'P 1'
_space_group_IT_number 1
loop_
_space_group_symop_operation_xyz
'x,y,z'
loop_
_atom_site_label
_atom_site_type_symbol
_atom_site_fract_x
_atom_site_fract_y
_atom_site_fract_z
_atom_site_occupancy
Pr1 Pr 0.1250 0.2500 0.3750 1
Pr2 Pr 0.1250 0.3750 0.7500 1
Pr3 Pr 0.2500 0.3750 0.1250 1
Pr4 Pr 0.2500 0.8750 0.6250 1
Pr5 Pr 0.3750 0.1250 0.2500 1
Pr6 Pr 0.3750 0.7500 0.1250 1
Pr7 Pr 0.6250 0.2500 0.8750 1
Pr8 Pr 0.6250 0.8750 0.7500 1
Pr9 Pr 0.7500 0.1250 0.3750 1
Pr10 Pr 0.7500 0.6250 0.8750 1
Pr11 Pr 0.8750 0.6250 0.2500 1
Pr12 Pr 0.8750 0.7500 0.6250 1
Se1 Se 0.0000 0.0000 0.0000 1
Se2 Se 0.0000 0.0000 0.5000 1
Se3 Se 0.0000 0.5000 0.0000 1
Se4 Se 0.0000 0.5000 0.5000 1
Se5 Se 0.1250 0.7500 0.8750 1
Se6 Se 0.1250 0.8750 0.2500 1
Se7 Se 0.2500 0.1250 0.8750 1
Se8 Se 0.2500 0.6250 0.3750 1
Se9 Se 0.3750 0.2500 0.6250 1
Se10 Se 0.3750 0.6250 0.7500 1
Se11 Se 0.5000 0.0000 0.0000 1
Se12 Se 0.5000 0.0000 0.5000 1
Se13 Se 0.5000 0.5000 0.0000 1
Se14 Se 0.5000 0.5000 0.5000 1
Se15 Se 0.6250 0.3750 0.2500 1
Se16 Se 0.6250 0.7500 0.3750 1
Se17 Se 0.7500 0.3750 0.6250 1
Se18 Se 0.7500 0.8750 0.1250 1
Se19 Se 0.8750 0.1250 0.7500 1
Se20 Se 0.8750 0.2500 0.1250 1
S1 S 0.0399 0.2081 0.1304 1
S2 S 0.0399 0.3318 0.9095 1
S3 S 0.0777 0.7081 0.6682 1
S4 S 0.0777 0.8696 0.4095 1
S5 S 0.0905 0.6304 0.4223 1
S6 S 0.0905 0.9601 0.6682 1
S7 S 0.1304 0.0399 0.2081 1
S8 S 0.1304 0.5905 0.9223 1
S9 S 0.1682 0.2081 0.5777 1
S10 S 0.1682 0.4601 0.5905 1
S11 S 0.2081 0.1304 0.0399 1
S12 S 0.2081 0.5777 0.1682 1
S13 S 0.2919 0.3318 0.9223 1
S14 S 0.2919 0.4601 0.3696 1
S15 S 0.3318 0.9095 0.0399 1
S16 S 0.3318 0.9223 0.2919 1
S17 S 0.3696 0.2919 0.4601 1
S18 S 0.3696 0.5777 0.9095 1
S19 S 0.4095 0.0777 0.8696 1
S20 S 0.4095 0.8318 0.5399 1
S21 S 0.4223 0.0905 0.6304 1
S22 S 0.4223 0.8318 0.7919 1
S23 S 0.4601 0.3696 0.2919 1
S24 S 0.4601 0.5905 0.1682 1
S25 S 0.5399 0.4095 0.8318 1
S26 S 0.5399 0.6304 0.7081 1
S27 S 0.5777 0.1682 0.2081 1
S28 S 0.5777 0.9095 0.3696 1
S29 S 0.5905 0.1682 0.4601 1
S30 S 0.5905 0.9223 0.1304 1
S31 S 0.6304 0.4223 0.0905 1
S32 S 0.6304 0.7081 0.5399 1
S33 S 0.6682 0.0777 0.7081 1
S34 S 0.6682 0.0905 0.9601 1
S35 S 0.7081 0.5399 0.6304 1
S36 S 0.7081 0.6682 0.0777 1
S37 S 0.7919 0.4223 0.8318 1
S38 S 0.7919 0.8696 0.9601 1
S39 S 0.8318 0.5399 0.4095 1
S40 S 0.8318 0.7919 0.4223 1
S41 S 0.8696 0.4095 0.0777 1
S42 S 0.8696 0.9601 0.7919 1
S43 S 0.9095 0.0399 0.3318 1
S44 S 0.9095 0.3696 0.5777 1
S45 S 0.9223 0.1304 0.5905 1
S46 S 0.9223 0.2919 0.3318 1
S47 S 0.9601 0.6682 0.0905 1
S48 S 0.9601 0.7919 0.8696 1
```

Computed properties:
As for the crystal system: cubic. Its density of states at the Fermi level is 0.40 states/eV per atom. For the total energy, the calculation gives -4.46 eV per atom.

Record 6
A plane-wave DFT calculation with PBE was carried out for an optimized crystal structure of Pr4Se3S.

Geometry as CIF:
```
data_Pr4Se3S
_chemical_formula_sum 'Pr4 Se3 S1'
_cell_length_a 7.3518
_cell_length_b 7.3518
_cell_length_c 4.1931
_cell_angle_alpha 90.00
_cell_angle_beta 90.00
_cell_angle_gamma 109.11
_space_group_name_H-M_alt 'P 1'
_space_group_IT_number 1
loop_
_space_group_symop_operation_xyz
'x,y,z'
loop_
_atom_site_label
_atom_site_type_symbol
_atom_site_fract_x
_atom_site_fract_y
_atom_site_fract_z
_atom_site_occupancy
Pr1 Pr 0.2322 0.2322 0.5000 1
Pr2 Pr 0.2399 0.7601 0.0000 1
Pr3 Pr 0.7601 0.2399 0.0000 1
Pr4 Pr 0.7678 0.7678 0.5000 1
Se1 Se 0.0000 0.5000 0.5000 1
Se2 Se 0.5000 0.0000 0.5000 1
Se3 Se 0.5000 0.5000 0.0000 1
S1 S 0.0000 0.0000 0.0000 1
```

Computed properties:
As for the crystal system: orthorhombic. Its density of states at the Fermi level is 0.46 states/eV per atom. Its energy above the lowest structure with this stoichiometry is 0 kJ/mol of formula units.

Number 1: spin magnetization 0.0 μB per cell, V 152.8 Å³/cell. Number 2: spin magnetization 0.0 μB per cell, V 284.2 Å³/cell. Number 3: spin magnetization 0.0 μB per cell, V 250.8 Å³/cell. Number 4: spin magnetization 0.0 μB per cell, V 412.9 Å³/cell. Number 5: spin magnetization 0.0 μB per cell, V 2005.9 Å³/cell. Number 6: spin magnetization 0.0 μB per cell, V 214.1 Å³/cell.